No. 1
A relaxed As2Se crystal, computed with PBEsol.

abc: 3.834 3.834 4.794
angles: 90.00 90.00 120.00
Atoms (fractional coordinates):
As1 0.333 0.667 0.148
As2 0.667 0.333 0.852
Se1 0.000 0.000 0.500

As for the space group: P-3m1 (164). The uncorrected formation energy is 39 meV per atom. Its energy above the lowest structure with this stoichiometry is 0.000 eV per formula unit.

=====

No. 2
A relaxed TaBe2Tl crystal, computed with PBEsol.

abc: 5.284 5.284 5.284
angles: 145.14 136.24 57.12
Atoms (fractional coordinates):
Ta1 0.000 0.000 0.000
Be1 0.265 0.765 0.500
Be2 0.464 0.464 0.000
Tl1 0.730 0.230 0.500

As for the space group: Imm2 (44). For the formation energy, the calculation gives 1.8 eV/f.u. Its energy above the lowest structure with this stoichiometry is 0.224 eV per formula unit.

=====

no.,size of the total moment (μB per formula unit)
1,0.00
2,0.00